#a
{
  "formula": "AgHg2I6",
  "functional": "PBE-GGA",
  "state": "relaxed",
  "lattice": [[8.630, 0.000, 0.000], [-4.315, 7.474, 0.000], [0.000, 0.000, 7.914]],
  "species": ["Ag", "Hg", "Hg", "I", "I", "I", "I", "I", "I"],
  "frac_coords": [[0.000, 0.000, 0.000], [0.333, 0.667, 0.205], [0.667, 0.333, 0.795], [0.150, 0.300, 0.247], [0.150, 0.850, 0.247], [0.300, 0.150, 0.753], [0.700, 0.850, 0.247], [0.850, 0.150, 0.753], [0.850, 0.700, 0.753]],
  "dos_at_fermi_per_ev_cell": 12.2
}



#b
{
  "formula": "AgHg2I6",
  "functional": "PBE-GGA",
  "state": "relaxed",
  "lattice": [[8.550, -6.755, 0.000], [8.550, 6.755, 0.000], [-3.682, 0.000, 7.184]],
  "species": ["Ag", "Ag", "Hg", "Hg", "Hg", "Hg", "I", "I", "I", "I", "I", "I", "I", "I", "I", "I", "I", "I"],
  "frac_coords": [[0.174, 0.826, 0.750], [0.826, 0.174, 0.250], [0.189, 0.397, 0.691], [0.397, 0.189, 0.191], [0.603, 0.811, 0.809], [0.811, 0.603, 0.309], [0.012, 0.751, 0.376], [0.083, 0.667, 0.871], [0.249, 0.988, 0.124], [0.325, 0.428, 0.476], [0.333, 0.917, 0.629], [0.428, 0.325, 0.976], [0.572, 0.675, 0.024], [0.667, 0.083, 0.371], [0.675, 0.572, 0.524], [0.751, 0.012, 0.876], [0.917, 0.333, 0.129], [0.988, 0.249, 0.624]],
  "dos_at_fermi_per_ev_cell": 8.9
}



Least stable structure: #a



#a
{
  "formula": "AgHg4I2",
  "functional": "PBE-GGA",
  "state": "relaxed",
  "lattice": [[-2.779, 2.779, 8.178], [2.779, -2.779, 8.178], [2.779, 2.779, -8.178]],
  "species": ["Ag", "Hg", "Hg", "Hg", "Hg", "I", "I"],
  "frac_coords": [[0.000, 0.000, 0.000], [0.000, 0.500, 0.500], [0.163, 0.163, 0.000], [0.500, 0.000, 0.500], [0.837, 0.837, 0.000], [0.336, 0.336, 0.000], [0.664, 0.664, 0.000]],
  "dos_at_fermi_per_ev_cell": 3.7
}



#b
{
  "formula": "AgHg4I2",
  "functional": "PBE-GGA",
  "state": "relaxed",
  "lattice": [[6.845, -2.153, 0.000], [6.845, 2.153, 0.000], [-3.316, 0.000, 8.129]],
  "species": ["Ag", "Hg", "Hg", "Hg", "Hg", "I", "I"],
  "frac_coords": [[0.000, 0.000, 0.000], [0.193, 0.193, 0.872], [0.459, 0.459, 0.322], [0.541, 0.541, 0.678], [0.807, 0.807, 0.128], [0.150, 0.150, 0.300], [0.850, 0.850, 0.700]],
  "dos_at_fermi_per_ev_cell": 1.6
}



Least stable structure: #a